Compound: InTcI2
Source: Alexandria via LeMat-Bulk
Functional: PBE
Structure: optimized geometry

Computed properties:
The formation energy without anion corrections is 25.3 kJ per mole of atoms. The value obtained for the spin magnetization is 0.00 Bohr magnetons per cell. The volume comes out at 253.4 Å³ per cell. Its space-group type is I-42d (122). The offset from the most stable computed form comes out at 0 meV/atom.

Cell lengths 9.606, 9.606, 7.326 Å; angles 49.04, 49.04, 90.00 degrees
Sites, in units of the cell vectors:
I: 0.486 0.125 0.250
I: 0.264 0.625 0.250
I: 0.375 0.514 0.750
I: 0.875 0.736 0.750
Tc: 0.500 0.500 0.000
Tc: 0.250 0.750 0.500
In: 0.000 0.000 0.000
In: 0.750 0.250 0.500